# 1
Entry from the Alexandria database: a relaxed Ba2Zn3Ga4Ge crystal (GGA-PBE).

Cell lengths 4.5707, 4.5707, 10.9391 Å; angles 90.00, 90.00, 90.00 degrees
Space group P-4m2 (No. 115)
One atom of each set of equivalent atoms:
Ba 0.0000 0.5000 0.2475 [2 per cell]
Zn 0.0000 0.0000 0.0000 [1 per cell]
Zn 0.0000 0.5000 0.6275 [2 per cell]
Ga 0.0000 0.0000 0.5000 [1 per cell]
Ga 0.0000 0.5000 0.8695 [2 per cell]
Ga 0.5000 0.5000 0.5000 [1 per cell]
Ge 0.5000 0.5000 0.0000 [1 per cell]

=====

# 2
Entry from the Alexandria database: a relaxed TbSm2Zn2 crystal (GGA-PBE).

Cell lengths 3.6643, 5.1916, 13.5877 Å; angles 90.00, 97.78, 90.00 degrees
Space group P2_1/m (No. 11)
One atom of each set of equivalent atoms:
Tb 0.1434 0.2500 0.2854 [2 per cell]
Sm 0.0461 0.7500 0.0910 [2 per cell]
Sm 0.2314 0.7500 0.4640 [2 per cell]
Zn 0.3609 0.2500 0.7223 [2 per cell]
Zn 0.4485 0.7500 0.8974 [2 per cell]

## Properties
As for the energy above the lowest structure with this stoichiometry: 0.0 meV per atom.

=====

# 3
Entry from the Alexandria database: a relaxed Na4Hg3 crystal (GGA-PBE).

Cell lengths 15.5979, 3.7019, 8.0180 Å; angles 90.00, 117.88, 90.00 degrees
Space group C2/m (No. 12)
One atom of each set of equivalent atoms:
Na 0.0923 0.0000 0.2269 [4 per cell]
Na 0.1345 0.5000 0.8681 [4 per cell]
Hg 0.0000 0.0000 0.5000 [2 per cell]
Hg 0.2270 0.0000 0.6664 [4 per cell]

## Properties
As for the energy above the lowest structure with this stoichiometry: 53.9 meV per atom.

=====

# 4
Entry from the Alexandria database: a relaxed PmAlZnCd crystal (GGA-PBE).

Cell lengths 7.0093, 7.0093, 7.0093 Å; angles 90.00, 90.00, 90.00 degrees
Space group F-43m (No. 216)
One atom of each set of equivalent atoms:
Pm 0.0000 0.0000 0.0000 [4 per cell]
Al 0.2500 0.2500 0.7500 [4 per cell]
Zn 0.2500 0.2500 0.2500 [4 per cell]
Cd 0.0000 0.0000 0.5000 [4 per cell]

=====

# 5
Entry from the Alexandria database: a relaxed LiIn2ReP crystal (GGA-PBE).

Cell lengths 5.1218, 5.1218, 4.3027 Å; angles 90.00, 90.00, 90.00 degrees
Space group P4/mmm (No. 123)
One atom of each set of equivalent atoms:
Li 0.0000 0.0000 0.0000 [1 per cell]
In 0.0000 0.5000 0.5000 [2 per cell]
Re 0.5000 0.5000 0.0000 [1 per cell]
P 0.0000 0.0000 0.5000 [1 per cell]

=====

# 6
Entry from the Alexandria database: a relaxed GdDy2Ti crystal (GGA-PBE).

Cell lengths 3.3983, 3.3983, 33.0901 Å; angles 90.00, 90.00, 120.00 degrees
Space group R-3m (No. 166, hexagonal axes)
One atom of each set of equivalent atoms:
Gd 0.0000 0.0000 0.0000 [3 per cell]
Dy 0.0000 0.0000 0.2415 [6 per cell]
Ti 0.0000 0.0000 0.5000 [3 per cell]

## Properties
As for the energy above the lowest structure with this stoichiometry: 44.5 meV per atom.

=====

| no. | total magnetic moment (μB/atom) | formation energy (eV per atom) |
| --- | --- | --- |
| 1 | 0.0000 | -0.36 |
| 2 | 0.0002 | -0.25 |
| 3 | 0.0000 | -0.16 |
| 4 | 0.0000 | -0.23 |
| 5 | 0.6369 | 1.02 |
| 6 | 1.8595 | 0.20 |